# HoTmTh2 (GGA-PBE, optimized geometry)
data_HoTmTh2
_cell_length_a 7.954
_cell_length_b 7.954
_cell_length_c 7.954
_cell_angle_alpha 90.00
_cell_angle_beta 90.00
_cell_angle_gamma 90.00
_symmetry_space_group_name_H-M 'F m -3 m'
_symmetry_Int_Tables_number 225
_symmetry_space_group_name_Hall '-F 4 2 3'
loop_
_atom_site_label
_atom_site_fract_x
_atom_site_fract_y
_atom_site_fract_z
_atom_site_occupancy
Ho1 0.000 0.000 0.000 1
Tm1 0.000 0.000 0.500 1
Th1 0.250 0.250 0.250 1
# raw total energy = -0.2149 hartree per atom
# ρ = 10.53 g/cm³
# DFT formation energy = 0.50 eV per formula unit